Entry from Alexandria: crystalline PmMnN at its relaxed geometry (PBE).

a = 4.866 Å, b = 3.255 Å, c = 3.255 Å
α = 120.00°, β = 90.00°, γ = 90.00°
Fractional positions:
N 0.093 0.000 0.000
Mn 0.181 0.333 0.667
Pm 0.726 0.667 0.333

Summary:
The calculation puts the polymorph energy (0 for the lowest one) at 443.0 meV/atom. The formation energy from raw total energies is -240 meV per atom.